#i
First-principles (GGA-PBE) data for a relaxed CsCuTe3Ir crystal, as listed in OQMD via LeMat-Bulk.

Cell: 8.7606 8.7606 10.5705 Å, 90.00 90.00 153.36°
Closest atoms and distances in Å follow each position.
Sites, in units of the cell vectors:
Cs 0.2423 0.7577 0.7500  8 Te 3.87-3.98, 2 Cu 4.00, 2 Cs 4.04
Cs 0.7577 0.2423 0.2500  8 Te 3.87-3.98, 2 Cu 4.00, 2 Cs 4.04
Cu 0.4604 0.5396 0.2500  4 Te 2.55-2.60
Cu 0.5396 0.4604 0.7500  4 Te 2.55-2.60
Te 0.0570 0.9430 0.2500  2 Cu 2.60, 2 Ir 2.82
Te 0.3966 0.6034 0.0321  1 Cu 2.55, 2 Ir 2.70
Te 0.3966 0.6034 0.4679  1 Cu 2.55, 2 Ir 2.70
Te 0.6034 0.3966 0.5321  1 Cu 2.55, 2 Ir 2.70
Te 0.6034 0.3966 0.9679  1 Cu 2.55, 2 Ir 2.70
Te 0.9430 0.0570 0.7500  2 Cu 2.60, 2 Ir 2.82
Ir 0.0000 0.0000 0.0000  6 Te 2.70-2.82
Ir 0.0000 0.0000 0.5000  6 Te 2.70-2.82

Properties
V, A^3/atom: 30.3
Size of the total moment, μB per formula unit: 0.002

---

#ii
First-principles (GGA-PBE) data for a relaxed CsCuTe3Ir crystal, as listed in OQMD via LeMat-Bulk.

Cell: 9.3769 4.1516 10.6701 Å, 90.00 115.63 90.00°
Closest atoms and distances in Å follow each position.
Sites, in units of the cell vectors:
Cs 0.2426 0.2500 0.2688  7 Te 3.82-4.14, 2 Cs 4.15
Cs 0.7574 0.7500 0.7312  7 Te 3.82-4.14, 2 Cs 4.15
Cu 0.0682 0.2500 0.5818  4 Te 2.60-2.64, 2 Cu 2.66
Cu 0.9318 0.7500 0.4182  4 Te 2.60-2.64, 2 Cu 2.66
Te 0.1349 0.2500 0.8491  1 Cu 2.64, 2 Ir 2.72
Te 0.2362 0.7500 0.5714  3 Cu 2.60-2.64, 1 Ir 2.72
Te 0.4843 0.7500 0.1260  3 Ir 2.67-2.70
Te 0.5157 0.2500 0.8740  3 Ir 2.67-2.70
Te 0.7638 0.2500 0.4286  3 Cu 2.60-2.64, 1 Ir 2.72
Te 0.8651 0.7500 0.1509  1 Cu 2.64, 2 Ir 2.72
Ir 0.3219 0.7500 0.8497  6 Te 2.67-2.72
Ir 0.6781 0.2500 0.1503  6 Te 2.67-2.72

Properties
V, A^3/atom: 31.2
Size of the total moment, μB per formula unit: 0.005

---

The winner here is #ii, beating the second structure by 8.9 kJ/mol of atoms.

---

#i
First-principles (GGA-PBE) data for a relaxed CsKCu crystal, as listed in OQMD via LeMat-Bulk.

Cell: 8.5668 8.5668 8.5668 Å, 90.00 90.00 90.00°
Closest atoms and distances in Å follow each position.
Sites, in units of the cell vectors:
Cs 0.0000 0.0000 0.0000  4 Cu 3.71, 4 K 3.71
Cs 0.0000 0.5000 0.5000  4 Cu 3.71, 4 K 3.71
Cs 0.5000 0.0000 0.5000  4 Cu 3.71, 4 K 3.71
Cs 0.5000 0.5000 0.0000  4 Cu 3.71, 4 K 3.71
K 0.2500 0.2500 0.2500  4 Cs 3.71
K 0.2500 0.7500 0.7500  4 Cs 3.71
K 0.7500 0.2500 0.7500  4 Cs 3.71
K 0.7500 0.7500 0.2500  4 Cs 3.71
Cu 0.2500 0.2500 0.7500  4 Cs 3.71
Cu 0.2500 0.7500 0.2500  4 Cs 3.71
Cu 0.7500 0.2500 0.2500  4 Cs 3.71
Cu 0.7500 0.7500 0.7500  4 Cs 3.71

Properties
V, A^3/atom: 52.4

---

#ii
First-principles (GGA-PBE) data for a relaxed CsKCu crystal, as listed in OQMD via LeMat-Bulk.

Cell: 8.7047 8.7047 8.7047 Å, 90.00 90.00 90.00°
Closest atoms and distances in Å follow each position.
Sites, in units of the cell vectors:
Cs 0.0000 0.0000 0.0000  4 Cu 3.77
Cs 0.0000 0.5000 0.5000  4 Cu 3.77
Cs 0.5000 0.0000 0.5000  4 Cu 3.77
Cs 0.5000 0.5000 0.0000  4 Cu 3.77
K 0.0000 0.0000 0.5000  4 Cu 3.77
K 0.0000 0.5000 0.0000  4 Cu 3.77
K 0.5000 0.0000 0.0000  4 Cu 3.77
K 0.5000 0.5000 0.5000  4 Cu 3.77
Cu 0.2500 0.2500 0.2500  4 K 3.77, 4 Cs 3.77
Cu 0.2500 0.7500 0.7500  4 K 3.77, 4 Cs 3.77
Cu 0.7500 0.2500 0.7500  4 K 3.77, 4 Cs 3.77
Cu 0.7500 0.7500 0.2500  4 K 3.77, 4 Cs 3.77

Properties
V, A^3/atom: 55.0

---

The winner here is #ii, beating the second structure by 22.2 kJ/mol of atoms.

---

#i
First-principles (GGA-PBE) data for a relaxed CsK2Rb2CuSb2 crystal, as listed in OQMD via LeMat-Bulk.

Cell: 10.4099 10.4099 10.4099 Å, 34.43 34.43 34.43°
Closest atoms and distances in Å follow each position.
Sites, in units of the cell vectors:
Cs 0.0000 0.0000 0.0000  6 Rb 3.89, 2 K 3.98, 6 Sb 4.28
K 0.1355 0.1355 0.1355  3 Cu 3.67, 3 Sb 3.90, 1 Cs 3.98, 3 K 4.00
K 0.8645 0.8645 0.8645  3 Cu 3.67, 3 Sb 3.90, 1 Cs 3.98, 3 K 4.00
Rb 0.2797 0.2797 0.2797  4 Sb 3.65-3.96, 3 Cs 3.89
Rb 0.7203 0.7203 0.7203  4 Sb 3.65-3.96, 3 Cs 3.89
Cu 0.5000 0.5000 0.5000  2 Sb 2.50
Sb 0.4147 0.4147 0.4147  1 Cu 2.50
Sb 0.5853 0.5853 0.5853  1 Cu 2.50

Properties
V, A^3/atom: 40.2

---

#ii
First-principles (GGA-PBE) data for a relaxed CsK2Rb2CuSb2 crystal, as listed in OQMD via LeMat-Bulk.

Cell: 10.2595 10.2595 10.2595 Å, 34.88 34.88 34.88°
Closest atoms and distances in Å follow each position.
Sites, in units of the cell vectors:
Cs 0.0000 0.0000 0.0000  6 K 3.84, 2 Rb 3.99, 6 Sb 4.22
K 0.2830 0.2830 0.2830  4 Sb 3.65-3.74, 3 Cs 3.84
K 0.7170 0.7170 0.7170  4 Sb 3.65-3.74, 3 Cs 3.84
Rb 0.1383 0.1383 0.1383  3 Cu 3.64, 3 Rb 3.91, 3 Sb 3.94, 1 Cs 3.99
Rb 0.8617 0.8617 0.8617  3 Cu 3.64, 3 Rb 3.91, 3 Sb 3.94, 1 Cs 3.99
Cu 0.5000 0.5000 0.5000  2 Sb 2.52
Sb 0.4126 0.4126 0.4126  1 Cu 2.52
Sb 0.5874 0.5874 0.5874  1 Cu 2.52

Properties
V, A^3/atom: 39.4

---

The winner here is #ii, beating the second structure by 2.3 kJ/mol of atoms.

---

#i
First-principles (GGA-PBE) data for a relaxed Cs3K2CuSb2 crystal, as listed in OQMD via LeMat-Bulk.

Cell: 10.6346 10.6346 10.6346 Å, 34.39 34.39 34.39°
Closest atoms and distances in Å follow each position.
Sites, in units of the cell vectors:
Cs 0.0000 0.0000 0.0000  6 Cs 3.94, 2 K 4.10, 6 Sb 4.40
Cs 0.2819 0.2819 0.2819  4 Sb 3.75-4.04, 3 Cs 3.94
Cs 0.7181 0.7181 0.7181  4 Sb 3.75-4.04, 3 Cs 3.94
K 0.1368 0.1368 0.1368  3 Cu 3.74, 3 Sb 3.97, 3 K 4.05, 1 Cs 4.10
K 0.8632 0.8632 0.8632  3 Cu 3.74, 3 Sb 3.97, 3 K 4.05, 1 Cs 4.10
Cu 0.5000 0.5000 0.5000  2 Sb 2.50
Sb 0.4165 0.4165 0.4165  1 Cu 2.50
Sb 0.5835 0.5835 0.5835  1 Cu 2.50

Properties
V, A^3/atom: 42.8

---

#ii
First-principles (GGA-PBE) data for a relaxed Cs3K2CuSb2 crystal, as listed in OQMD via LeMat-Bulk.

Cell: 10.2891 10.2891 10.2891 Å, 35.55 35.55 35.55°
Closest atoms and distances in Å follow each position.
Sites, in units of the cell vectors:
Cs 0.0000 0.0000 0.0000  6 K 3.90, 2 Cs 4.03, 6 Sb 4.28
Cs 0.1394 0.1394 0.1394  3 Cu 3.71, 4 Cs 3.95-4.03, 3 Sb 4.03
Cs 0.8606 0.8606 0.8606  3 Cu 3.71, 4 Cs 3.95-4.03, 3 Sb 4.03
K 0.2841 0.2841 0.2841  4 Sb 3.70-3.73, 3 Cs 3.90
K 0.7159 0.7159 0.7159  4 Sb 3.70-3.73, 3 Cs 3.90
Cu 0.5000 0.5000 0.5000  2 Sb 2.54
Sb 0.4121 0.4121 0.4121  1 Cu 2.54
Sb 0.5879 0.5879 0.5879  1 Cu 2.54

Properties
V, A^3/atom: 41.1

---

The winner here is #ii, beating the second structure by 4.7 kJ/mol of atoms.

---

#i
First-principles (GGA-PBE) data for a relaxed CsLa2CuTe3Se crystal, as listed in OQMD via LeMat-Bulk.

Cell: 8.1943 8.1943 15.8334 Å, 90.00 90.00 148.25°
Closest atoms and distances in Å follow each position.
Sites, in units of the cell vectors:
Cs 0.1087 0.8913 0.7500  6 Te 3.64-3.74
Cs 0.8913 0.1087 0.2500  6 Te 3.64-3.74
La 0.3729 0.6271 0.5578  2 Se 3.14, 4 Te 3.16-3.22
La 0.3729 0.6271 0.9422  2 Se 3.14, 4 Te 3.16-3.22
La 0.6271 0.3729 0.0578  2 Se 3.14, 4 Te 3.16-3.22
La 0.6271 0.3729 0.4422  2 Se 3.14, 4 Te 3.16-3.22
Cu 0.1645 0.8355 0.2500  4 Te 2.66
Cu 0.8355 0.1645 0.7500  4 Te 2.66
Te 0.2611 0.7389 0.1125  1 Cu 2.66
Te 0.2611 0.7389 0.3875  1 Cu 2.66
Te 0.4264 0.5736 0.7500  2 Cu 2.66
Te 0.5736 0.4264 0.2500  2 Cu 2.66
Te 0.7389 0.2611 0.6125  1 Cu 2.66
Te 0.7389 0.2611 0.8875  1 Cu 2.66
Se 0.0000 0.0000 0.0000  4 La 3.14
Se 0.0000 0.0000 0.5000  4 La 3.14

Properties
V, A^3/atom: 35.0
Size of the total moment, μB per formula unit: 0.002

---

#ii
First-principles (GGA-PBE) data for a relaxed CsLa2CuTe3Se crystal, as listed in OQMD via LeMat-Bulk.

Cell: 8.2992 8.2992 15.5212 Å, 90.00 90.00 148.33°
Closest atoms and distances in Å follow each position.
Sites, in units of the cell vectors:
Cs 0.0930 0.9070 0.7500  2 Se 3.60, 4 Te 3.81
Cs 0.9070 0.0930 0.2500  2 Se 3.60, 4 Te 3.81
La 0.3649 0.6351 0.5684  1 Se 2.94, 3 Te 3.17-3.27
La 0.3649 0.6351 0.9316  1 Se 2.94, 3 Te 3.17-3.27
La 0.6351 0.3649 0.0684  1 Se 2.94, 3 Te 3.17-3.27
La 0.6351 0.3649 0.4316  1 Se 2.94, 3 Te 3.17-3.27
Cu 0.1618 0.8382 0.2500  2 Se 2.59, 2 Te 2.66
Cu 0.8382 0.1618 0.7500  2 Se 2.59, 2 Te 2.66
Te 0.0000 0.0000 0.0000  4 La 3.30
Te 0.0000 0.0000 0.5000  4 La 3.30
Te 0.2657 0.7343 0.1163  1 Cu 2.66
Te 0.2657 0.7343 0.3837  1 Cu 2.66
Te 0.7343 0.2657 0.6163  1 Cu 2.66
Te 0.7343 0.2657 0.8837  1 Cu 2.66
Se 0.4174 0.5826 0.7500  2 Cu 2.59
Se 0.5826 0.4174 0.2500  2 Cu 2.59

Properties
V, A^3/atom: 35.1
Size of the total moment, μB per formula unit: 0.001

---

The winner here is #ii, beating the second structure by 1.3 kJ/mol of atoms.

---

#i
First-principles (GGA-PBE) data for a relaxed CsMgCu crystal, as listed in OQMD via LeMat-Bulk.

Cell: 7.8819 7.8819 7.8819 Å, 90.00 90.00 90.00°
Closest atoms and distances in Å follow each position.
Sites, in units of the cell vectors:
Cs 0.0000 0.0000 0.0000  4 Mg 3.41
Cs 0.0000 0.5000 0.5000  4 Mg 3.41
Cs 0.5000 0.0000 0.5000  4 Mg 3.41
Cs 0.5000 0.5000 0.0000  4 Mg 3.41
Mg 0.2500 0.2500 0.2500  4 Cu 3.41, 4 Cs 3.41
Mg 0.2500 0.7500 0.7500  4 Cu 3.41, 4 Cs 3.41
Mg 0.7500 0.2500 0.7500  4 Cu 3.41, 4 Cs 3.41
Mg 0.7500 0.7500 0.2500  4 Cu 3.41, 4 Cs 3.41
Cu 0.0000 0.0000 0.5000  4 Mg 3.41
Cu 0.0000 0.5000 0.0000  4 Mg 3.41
Cu 0.5000 0.0000 0.0000  4 Mg 3.41
Cu 0.5000 0.5000 0.5000  4 Mg 3.41

Properties
V, A^3/atom: 40.8

---

#ii
First-principles (GGA-PBE) data for a relaxed CsMgCu crystal, as listed in OQMD via LeMat-Bulk.

Cell: 7.8406 7.8406 7.8406 Å, 90.00 90.00 90.00°
Closest atoms and distances in Å follow each position.
Sites, in units of the cell vectors:
Cs 0.0000 0.0000 0.0000  4 Cu 3.40
Cs 0.0000 0.5000 0.5000  4 Cu 3.40
Cs 0.5000 0.0000 0.5000  4 Cu 3.40
Cs 0.5000 0.5000 0.0000  4 Cu 3.40
Mg 0.0000 0.0000 0.5000  4 Cu 3.40
Mg 0.0000 0.5000 0.0000  4 Cu 3.40
Mg 0.5000 0.0000 0.0000  4 Cu 3.40
Mg 0.5000 0.5000 0.5000  4 Cu 3.40
Cu 0.2500 0.2500 0.2500  4 Mg 3.40, 4 Cs 3.40
Cu 0.2500 0.7500 0.7500  4 Mg 3.40, 4 Cs 3.40
Cu 0.7500 0.2500 0.7500  4 Mg 3.40, 4 Cs 3.40
Cu 0.7500 0.7500 0.2500  4 Mg 3.40, 4 Cs 3.40

Properties
V, A^3/atom: 40.2

---

The winner here is #ii, beating the second structure by 13.5 kJ/mol of atoms.